Version P
Ta2TlSn after structural relaxation, computed with PBE.

Results
Spin magnetization (μB/f.u.): 0.00

Cell: 6.856 6.856 6.856 Å, 90.00 90.00 90.00°
Space group Fm-3m (No. 225)
Symmetry-distinct sites (fractional):
Ta 0.250 0.250 0.250 [8 per cell]
Tl 0.000 0.000 0.000 [4 per cell]
Sn 0.000 0.000 0.500 [4 per cell]



Version Q
Ta2TlSn after structural relaxation, computed with PBE.

Results
Spin magnetization (μB/f.u.): 0.00

Cell: 7.727 7.727 5.929 Å, 90.00 90.00 90.00°
Space group I-42d (No. 122)
Symmetry-distinct sites (fractional):
Ta 0.244 0.250 0.125 [8 per cell]
Tl 0.000 0.000 0.500 [4 per cell]
Sn 0.000 0.000 0.000 [4 per cell]



Most stable structure - version P; separation to the second - 209 meV per atom.



Version P
TaVSn2 after structural relaxation, computed with PBE.

Results
Spin magnetization (μB/f.u.): 0.43

Cell: 6.757 6.757 6.757 Å, 90.00 90.00 90.00°
Space group Fm-3m (No. 225)
Symmetry-distinct sites (fractional):
Ta 0.000 0.000 0.000 [4 per cell]
V 0.000 0.000 0.500 [4 per cell]
Sn 0.250 0.250 0.250 [8 per cell]



Version Q
TaVSn2 after structural relaxation, computed with PBE.

Results
Spin magnetization (μB/f.u.): 1.78

Cell: 7.564 7.564 5.898 Å, 90.00 90.00 90.00°
Space group I-42d (No. 122)
Symmetry-distinct sites (fractional):
Ta 0.000 0.000 0.000 [4 per cell]
V 0.000 0.000 0.500 [4 per cell]
Sn 0.238 0.750 0.625 [8 per cell]



Most stable structure - version P; separation to the second - 258 meV per atom.



Version P
TaV3Sn after structural relaxation, computed with PBE.

Results
Spin magnetization (μB/f.u.): 1.44

Cell: 4.716 4.716 4.716 Å, 90.00 90.00 90.00°
Space group Pm-3m (No. 221)
Symmetry-distinct sites (fractional):
Ta 0.000 0.000 0.000 [1 per cell]
V 0.000 0.500 0.500 [3 per cell]
Sn 0.500 0.500 0.500 [1 per cell]



Version Q
TaV3Sn after structural relaxation, computed with PBE.

Results
Spin magnetization (μB/f.u.): 0.00

Cell: 4.639 4.639 4.639 Å, 90.00 90.00 90.00°
Space group Pm-3m (No. 221)
Symmetry-distinct sites (fractional):
Ta 0.000 0.000 0.000 [1 per cell]
V 0.000 0.000 0.500 [3 per cell]
Sn 0.500 0.500 0.500 [1 per cell]



Most stable structure - version Q; separation to the second - 540 meV per atom.



Version P
Ta3VSn after structural relaxation, computed with PBE.

Results
Spin magnetization (μB/f.u.): 2.43

Cell: 4.997 4.997 4.997 Å, 90.00 90.00 90.00°
Space group Pm-3m (No. 221)
Symmetry-distinct sites (fractional):
Ta 0.000 0.000 0.500 [3 per cell]
V 0.500 0.500 0.500 [1 per cell]
Sn 0.000 0.000 0.000 [1 per cell]



Version Q
Ta3VSn after structural relaxation, computed with PBE.

Results
Spin magnetization (μB/f.u.): 0.00

Cell: 4.683 4.683 4.683 Å, 90.00 90.00 90.00°
Space group Pm-3m (No. 221)
Symmetry-distinct sites (fractional):
Ta 0.000 0.000 0.500 [3 per cell]
V 0.000 0.000 0.000 [1 per cell]
Sn 0.500 0.500 0.500 [1 per cell]



Most stable structure - version Q; separation to the second - 1180 meV per atom.



Version P
Ta3SnW after structural relaxation, computed with PBE.

Results
Spin magnetization (μB/f.u.): 0.00

Cell: 4.894 4.894 4.894 Å, 90.00 90.00 90.00°
Space group Pm-3m (No. 221)
Symmetry-distinct sites (fractional):
Ta 0.000 0.000 0.500 [3 per cell]
Sn 0.500 0.500 0.500 [1 per cell]
W 0.000 0.000 0.000 [1 per cell]



Version Q
Ta3SnW after structural relaxation, computed with PBE.

Results
Spin magnetization (μB/f.u.): 0.00

Cell: 4.907 4.907 4.907 Å, 90.00 90.00 90.00°
Space group Pm-3m (No. 221)
Symmetry-distinct sites (fractional):
Ta 0.000 0.000 0.500 [3 per cell]
Sn 0.000 0.000 0.000 [1 per cell]
W 0.500 0.500 0.500 [1 per cell]



Most stable structure - version P; separation to the second - 1053 meV per atom.



Version P
TaSn2W after structural relaxation, computed with PBE.

Results
Spin magnetization (μB/f.u.): 0.00

Cell: 6.736 6.736 6.736 Å, 90.00 90.00 90.00°
Space group Fm-3m (No. 225)
Symmetry-distinct sites (fractional):
Ta 0.000 0.000 0.000 [4 per cell]
Sn 0.250 0.250 0.250 [8 per cell]
W 0.000 0.000 0.500 [4 per cell]



Version Q
TaSn2W after structural relaxation, computed with PBE.

Results
Spin magnetization (μB/f.u.): 0.00

Cell: 4.078 4.078 20.316 Å, 90.00 90.00 90.00°
Space group I-42d (No. 122)
Symmetry-distinct sites (fractional):
Ta 0.000 0.000 0.000 [4 per cell]
Sn 0.249 0.250 0.125 [8 per cell]
W 0.000 0.000 0.500 [4 per cell]



Most stable structure - version P; separation to the second - 158 meV per atom.



Version P
TaZn3Sn after structural relaxation, computed with PBE.

Results
Spin magnetization (μB/f.u.): 2.17

Cell: 4.961 4.961 4.961 Å, 90.00 90.00 90.00°
Space group Pm-3m (No. 221)
Symmetry-distinct sites (fractional):
Ta 0.000 0.000 0.000 [1 per cell]
Zn 0.000 0.500 0.500 [3 per cell]
Sn 0.500 0.500 0.500 [1 per cell]



Version Q
TaZn3Sn after structural relaxation, computed with PBE.

Results
Spin magnetization (μB/f.u.): 0.39

Cell: 5.044 5.044 5.044 Å, 90.00 90.00 90.00°
Space group Pm-3m (No. 221)
Symmetry-distinct sites (fractional):
Ta 0.000 0.000 0.000 [1 per cell]
Zn 0.000 0.000 0.500 [3 per cell]
Sn 0.500 0.500 0.500 [1 per cell]



Most stable structure - version Q; separation to the second - 450 meV per atom.



Version P
ZrTa2Sn2 after structural relaxation, computed with PBE.

Results
Spin magnetization (μB/f.u.): 0.00

Cell: 5.229 5.229 4.888 Å, 90.00 90.00 90.00°
Space group P4/mmm (No. 123)
Symmetry-distinct sites (fractional):
Zr 0.000 0.000 0.000 [1 per cell]
Ta 0.500 0.500 0.000 [1 per cell]
Ta 0.500 0.500 0.500 [1 per cell]
Sn 0.000 0.500 0.500 [2 per cell]



Version Q
ZrTa2Sn2 after structural relaxation, computed with PBE.

Results
Spin magnetization (μB/f.u.): 0.00

Cell: 7.645 7.645 3.563 Å, 90.00 90.00 90.00°
Space group P4/mbm (No. 127)
Symmetry-distinct sites (fractional):
Zr 0.000 0.000 0.000 [2 per cell]
Ta 0.152 0.348 0.500 [4 per cell]
Sn 0.144 0.644 0.000 [4 per cell]



Most stable structure - version Q; separation to the second - 1041 meV per atom.



Version P
Zr3TaSn after structural relaxation, computed with PBE.

Results
Spin magnetization (μB/f.u.): 0.81

Cell: 5.201 5.201 5.201 Å, 90.00 90.00 90.00°
Space group Pm-3m (No. 221)
Symmetry-distinct sites (fractional):
Zr 0.000 0.000 0.500 [3 per cell]
Ta 0.500 0.500 0.500 [1 per cell]
Sn 0.000 0.000 0.000 [1 per cell]



Version Q
Zr3TaSn after structural relaxation, computed with PBE.

Results
Spin magnetization (μB/f.u.): 0.00

Cell: 5.117 5.117 5.117 Å, 90.00 90.00 90.00°
Space group Pm-3m (No. 221)
Symmetry-distinct sites (fractional):
Zr 0.000 0.000 0.500 [3 per cell]
Ta 0.000 0.000 0.000 [1 per cell]
Sn 0.500 0.500 0.500 [1 per cell]



Most stable structure - version Q; separation to the second - 519 meV per atom.



Version P
TbSn4 after structural relaxation, computed with PBE.

Results
Spin magnetization (μB/f.u.): 0.00

Cell: 4.649 6.426 18.066 Å, 90.00 90.00 90.00°
Space group Imma (No. 74)
Symmetry-distinct sites (fractional):
Tb 0.000 0.250 0.090 [4 per cell]
Sn 0.000 0.000 0.500 [4 per cell]
Sn 0.000 0.006 0.692 [8 per cell]
Sn 0.000 0.250 0.903 [4 per cell]



Version Q
TbSn4 after structural relaxation, computed with PBE.

Results
Spin magnetization (μB/f.u.): 0.00

Cell: 5.750 5.750 5.750 Å, 90.00 90.00 90.00°
Space group Pm-3m (No. 221)
Symmetry-distinct sites (fractional):
Tb 0.000 0.000 0.000 [1 per cell]
Sn 0.000 0.000 0.500 [3 per cell]
Sn 0.500 0.500 0.500 [1 per cell]



Most stable structure - version P; separation to the second - 827 meV per atom.



Version P
Tb2SnTe after structural relaxation, computed with PBE.

Results
Spin magnetization (μB/f.u.): 0.01

Cell: 3.676 3.676 8.108 Å, 90.00 90.00 90.00°
Space group P4/mmm (No. 123)
Symmetry-distinct sites (fractional):
Tb 0.000 0.000 0.243 [2 per cell]
Sn 0.500 0.500 0.500 [1 per cell]
Te 0.500 0.500 0.000 [1 per cell]



Version Q
Tb2SnTe after structural relaxation, computed with PBE.

Results
Spin magnetization (μB/f.u.): 0.00

Cell: 4.4010 4.4010 21.7198 Å, 90.00 90.00 120.00°
Space group R-3m (No. 166, hexagonal axes)
Symmetry-distinct sites (fractional):
Tb 0.0000 0.0000 0.2459 [6 per cell]
Sn 0.0000 0.0000 0.5000 [3 per cell]
Te 0.0000 0.0000 0.0000 [3 per cell]



Most stable structure - version Q; separation to the second - 183 meV per atom.



Version P
Tb2SnTe after structural relaxation, computed with PBE.

Results
Spin magnetization (μB/f.u.): 0.00

Cell: 6.215 6.215 12.473 Å, 90.00 90.00 90.00°
Space group Pmna (No. 53)
Symmetry-distinct sites (fractional):
Tb 0.000 0.250 0.122 [4 per cell]
Tb 0.000 0.250 0.628 [4 per cell]
Sn 0.000 0.250 0.875 [4 per cell]
Te 0.000 0.250 0.375 [4 per cell]



Version Q
Tb2SnTe after structural relaxation, computed with PBE.

Results
Spin magnetization (μB/f.u.): 0.00

Cell: 4.3633 4.3633 22.5216 Å, 90.00 90.00 120.00°
Space group R3m (No. 160, hexagonal axes)
Symmetry-distinct sites (fractional):
Tb 0.0000 0.0000 0.0000 [3 per cell]
Tb 0.0000 0.0000 0.1795 [3 per cell]
Sn 0.0000 0.0000 0.5909 [3 per cell]
Te 0.0000 0.0000 0.4211 [3 per cell]



Most stable structure - version P; separation to the second - 107 meV per atom.



Version P
Tb2ThSn after structural relaxation, computed with PBE.

Results
Spin magnetization (μB/f.u.): 0.00

Cell: 4.905 4.905 4.773 Å, 90.00 90.00 90.00°
Space group P4/mmm (No. 123)
Symmetry-distinct sites (fractional):
Tb 0.000 0.500 0.000 [2 per cell]
Th 0.000 0.000 0.500 [1 per cell]
Sn 0.500 0.500 0.500 [1 per cell]



Version Q
Tb2ThSn after structural relaxation, computed with PBE.

Results
Spin magnetization (μB/f.u.): 0.00

Cell: 3.5414 3.5414 35.6129 Å, 90.00 90.00 120.00°
Space group R-3m (No. 166, hexagonal axes)
Symmetry-distinct sites (fractional):
Tb 0.0000 0.0000 0.0878 [6 per cell]
Th 0.0000 0.0000 0.5000 [3 per cell]
Sn 0.0000 0.0000 0.0000 [3 per cell]



Version R
Tb2ThSn after structural relaxation, computed with PBE.

Results
Spin magnetization (μB/f.u.): 0.00

Cell: 3.863 3.863 7.834 Å, 90.00 90.00 90.00°
Space group P4/mmm (No. 123)
Symmetry-distinct sites (fractional):
Tb 0.000 0.000 0.223 [2 per cell]
Th 0.500 0.500 0.500 [1 per cell]
Sn 0.500 0.500 0.000 [1 per cell]



Most stable structure - version P; separation to the second - 69 meV per atom.